Density functional theory data (PBE-GGA) for crystalline Sm4Ho2Sc5 at its relaxed geometry.

Its density of states at the Fermi level is 17.860 states/eV/f.u. For the formation energy, the calculation gives 0.15 eV/atom. Its spin magnetization is 0.000 μB/atom.

The space group is C2/m (No. 12) and the conventional cell measures 22.7184, 3.3740 and 8.5268 Å, with angles of 90.00, 92.54 and 90.00 degrees. The distinct sites, in fractional coordinates, are Sm at (0.0492, 0.0000, 0.3331), Sm at (0.0879, 0.5000, 0.6970), Ho at (0.2306, 0.5000, 0.8223), Sc at (0.0000, 0.5000, 0.0000), Sc at (0.1296, 0.0000, 0.0287) and Sc at (0.1898, 0.0000, 0.4833).